Ca3CF | Alexandria via LeMat-Bulk | PBE | optimized geometry; size of the total moment = 0.0 μB per formula unit; energy = -3.95 eV per atom; excess energy over the best structure of this formula in the dataset = 0 meV/atom; ρ = 2.0 Mg/m³; formation energy from raw total energies = -0.526 eV per atom
1.0
5.005 0.000 0.000
0.000 5.005 0.000
0.000 0.000 5.005
Ca C F
3 1 1
Direct
0.000 0.000 0.500
0.000 0.500 0.000
0.500 0.000 0.000
0.000 0.000 0.000
0.500 0.500 0.500

---

CaCF | Alexandria via LeMat-Bulk | PBE | optimized geometry; size of the total moment = 0.1 μB per formula unit; energy = -4.61 eV per atom; excess energy over the best structure of this formula in the dataset = 1706 meV/atom; ρ = 2.5 Mg/m³; formation energy from raw total energies = -0.243 eV per atom
1.0
3.987 -1.668 0.000
3.987 1.668 0.000
-1.858 0.000 3.534
Ca C F
1 1 1
Direct
0.000 0.000 0.000
0.461 0.461 0.465
0.672 0.672 0.848